Record 1
The following is a PBE-GGA calculation of a geometry-optimized Li3Mg7Cd structure, from Alexandria via LeMat-Bulk.

Output
**Total magnetization**: 0.00 μB per formula unit
**ΔH_f (0 K)**: -0.002 eV per atom
**Final energy**: -17.84 eV per cell
**N(E_F)**: 2.312 states/eV/cell

Cell: 7.6044 6.1826 6.1826 Å, 120.00 90.00 90.00°
Fractional coordinates of all 11 atoms:
Li: 0.7802 0.4970 0.5030
Li: 0.7802 0.0061 0.5030
Li: 0.7802 0.4970 0.9939
Cd: 0.4609 0.3333 0.6667
Mg: 0.1126 0.6660 0.8330
Mg: 0.4563 0.8332 0.6664
Mg: 0.1126 0.1670 0.3340
Mg: 0.4563 0.8332 0.1668
Mg: 0.1126 0.1670 0.8330
Mg: 0.1068 0.6667 0.3333
Mg: 0.4563 0.3336 0.1668

Record 2
The following is a PBE-GGA calculation of a geometry-optimized LiMg4Cd7 structure, from Alexandria via LeMat-Bulk.

Output
**Offset from the most stable computed form**: 0.059 eV/atom
**Total magnetization**: 0.00 μB per formula unit
**ΔH_f (0 K)**: -0.025 eV per atom
**Final energy**: -15.00 eV per cell
**N(E_F)**: 3.827 states/eV/cell

Cell: 5.2228 8.7635 7.3456 Å, 106.11 69.18 72.66°
Fractional coordinates of all 12 atoms:
Cd: 0.0054 0.7838 0.2054
Cd: 0.9946 0.2162 0.7946
Cd: 0.1330 0.3036 0.4304
Cd: 0.3405 0.5870 0.7319
Cd: 0.6595 0.4130 0.2681
Cd: 0.8670 0.6964 0.5696
Cd: 0.5000 0.0000 0.0000
Mg: 0.7066 0.6169 0.9699
Mg: 0.2934 0.3831 0.0301
Mg: 0.6624 0.1452 0.5300
Mg: 0.3376 0.8548 0.4700
Li: 0.0000 0.0000 0.0000

Record 3
The following is a PBE-GGA calculation of a geometry-optimized Li3Mg2Cd5 structure, from Alexandria via LeMat-Bulk.

Output
**Total magnetization**: 0.00 μB per formula unit
**ΔH_f (0 K)**: -0.039 eV per atom
**Final energy**: -27.79 eV per cell
**N(E_F)**: 5.403 states/eV/cell

Cell: 5.5861 9.6291 9.6291 Å, 99.91 73.14 73.14°
Fractional coordinates of all 20 atoms:
Mg: 0.5900 0.1217 0.6983
Mg: 0.0900 0.6983 0.1217
Mg: 0.4100 0.8783 0.3017
Mg: 0.9100 0.3017 0.8783
Li: 0.7500 0.0000 0.0000
Li: 0.1359 0.2127 0.5156
Li: 0.8641 0.7873 0.4844
Li: 0.3641 0.4844 0.7873
Li: 0.2500 0.0000 0.0000
Li: 0.6359 0.5156 0.2127
Cd: 0.0087 0.2413 0.2413
Cd: 0.6761 0.6558 0.9921
Cd: 0.1761 0.9921 0.6558
Cd: 0.4913 0.7587 0.7587
Cd: 0.7500 0.5000 0.5000
Cd: 0.2500 0.5000 0.5000
Cd: 0.9913 0.7587 0.7587
Cd: 0.3239 0.3442 0.0079
Cd: 0.8239 0.0079 0.3442
Cd: 0.5087 0.2413 0.2413

Record 4
The following is a PBE-GGA calculation of a geometry-optimized LiMg14Cd structure, from Alexandria via LeMat-Bulk.

Output
**Offset from the most stable computed form**: 0.004 eV/atom
**Total magnetization**: 0.00 μB per formula unit
**ΔH_f (0 K)**: -0.032 eV per atom
**Final energy**: -25.67 eV per cell
**N(E_F)**: 3.896 states/eV/cell

Cell: 6.2997 6.2997 10.4475 Å, 90.00 90.00 120.00°
Fractional coordinates of all 16 atoms:
Mg: 0.6679 0.8340 0.7508
Mg: 0.4996 0.5004 0.0000
Mg: 0.1660 0.8340 0.7508
Mg: 0.1660 0.3321 0.7508
Mg: 0.4996 0.9993 0.0000
Mg: 0.9988 0.4994 0.5000
Mg: 0.5006 0.4994 0.5000
Mg: 0.1660 0.8340 0.2492
Mg: 0.0007 0.5004 0.0000
Mg: 0.1660 0.3321 0.2492
Mg: 0.6667 0.3333 0.7531
Mg: 0.6667 0.3333 0.2469
Mg: 0.6679 0.8340 0.2492
Mg: 0.5006 0.0012 0.5000
Cd: 0.0000 0.0000 0.5000
Li: 0.0000 0.0000 0.0000

Record 5
The following is a PBE-GGA calculation of a geometry-optimized Li9Mg3Cd2 structure, from Alexandria via LeMat-Bulk.

Output
**Total magnetization**: 0.00 μB per formula unit
**ΔH_f (0 K)**: -0.080 eV per atom
**Final energy**: -24.96 eV per cell
**N(E_F)**: 4.736 states/eV/cell

Cell: 4.7576 8.0221 8.0221 Å, 84.81 72.75 72.75°
Fractional coordinates of all 14 atoms:
Li: 0.3678 0.0101 0.2543
Li: 0.8612 0.8751 0.4026
Li: 0.3678 0.2543 0.0101
Li: 0.1388 0.1249 0.5974
Li: 0.1388 0.5974 0.1249
Li: 0.6322 0.7457 0.9899
Li: 0.8612 0.4026 0.8751
Li: 0.6322 0.9899 0.7457
Li: 0.0000 0.5000 0.5000
Cd: 0.5000 0.6587 0.3413
Cd: 0.5000 0.3413 0.6587
Mg: 0.2826 0.7174 0.7174
Mg: 0.0000 0.0000 0.0000
Mg: 0.7174 0.2826 0.2826

Record 6
The following is a PBE-GGA calculation of a geometry-optimized Li7MgCd12 structure, from Alexandria via LeMat-Bulk.

Output
**Total magnetization**: 0.00 μB per formula unit
**ΔH_f (0 K)**: -0.037 eV per atom
**Final energy**: -26.71 eV per cell
**N(E_F)**: 7.063 states/eV/cell

Cell: 7.5409 7.5409 7.5409 Å, 97.10 97.10 97.10°
Fractional coordinates of all 20 atoms:
Cd: 0.5802 0.8642 0.5801
Cd: 0.5801 0.5802 0.8642
Cd: 0.2483 0.2484 0.7537
Cd: 0.4199 0.4198 0.1358
Cd: 0.1358 0.4199 0.4198
Cd: 0.4198 0.1358 0.4199
Cd: 0.2484 0.7537 0.2483
Cd: 0.8642 0.5801 0.5802
Cd: 0.7516 0.2463 0.7517
Cd: 0.2463 0.7517 0.7516
Cd: 0.7537 0.2483 0.2484
Cd: 0.7517 0.7516 0.2463
Li: 0.0499 0.3599 0.0498
Li: 0.6401 0.9502 0.9501
Li: 0.9502 0.9501 0.6401
Li: 0.0498 0.0499 0.3599
Li: 0.3599 0.0498 0.0499
Li: 0.5000 0.5000 0.5000
Li: 0.9501 0.6401 0.9502
Mg: 0.0000 0.0000 0.0000

Record 7
The following is a PBE-GGA calculation of a geometry-optimized Li12Mg3Cd structure, from Alexandria via LeMat-Bulk.

Output
**Total magnetization**: 0.00 μB per formula unit
**ΔH_f (0 K)**: -0.061 eV per atom
**Final energy**: -29.64 eV per cell
**N(E_F)**: 7.880 states/eV/cell

Cell: 4.2011 4.2011 17.8508 Å, 90.00 90.00 90.00°
Fractional coordinates of all 16 atoms:
Li: 0.5000 0.5000 0.7542
Li: 0.0000 0.5000 0.6274
Li: 0.5000 0.5000 0.5000
Li: 0.0000 0.5000 0.8813
Li: 0.5000 0.0000 0.3726
Li: 0.5000 0.5000 0.2458
Li: 0.5000 0.0000 0.6274
Li: 0.0000 0.5000 0.1187
Li: 0.0000 0.5000 0.3726
Li: 0.5000 0.5000 0.0000
Li: 0.5000 0.0000 0.8813
Li: 0.5000 0.0000 0.1187
Mg: 0.0000 0.0000 0.2458
Mg: 0.0000 0.0000 0.5000
Mg: 0.0000 0.0000 0.7542
Cd: 0.0000 0.0000 0.0000

Record 8
The following is a PBE-GGA calculation of a geometry-optimized Li8MgCd4 structure, from Alexandria via LeMat-Bulk.

Output
**Total magnetization**: 0.00 μB per formula unit
**ΔH_f (0 K)**: -0.148 eV per atom
**Final energy**: -22.49 eV per cell
**N(E_F)**: 5.357 states/eV/cell

Cell: 4.7374 3.1033 16.9191 Å, 90.00 90.00 90.00°
Fractional coordinates of all 13 atoms:
Li: 0.5000 0.0000 0.5855
Li: 0.0000 0.0000 0.4933
Li: 0.0000 0.5000 0.9115
Li: 0.5000 0.5000 0.0543
Li: 0.5000 0.0000 0.2261
Li: 0.0000 0.5000 0.1796
Li: 0.5000 0.5000 0.7470
Li: 0.0000 0.0000 0.7782
Cd: 0.5000 0.5000 0.4157
Cd: 0.0000 0.0000 0.0446
Cd: 0.5000 0.0000 0.8988
Cd: 0.0000 0.5000 0.6392
Mg: 0.0000 0.0000 0.3291

Record 9
The following is a PBE-GGA calculation of a geometry-optimized Li6Mg2Cd3 structure, from Alexandria via LeMat-Bulk.

Output
**Offset from the most stable computed form**: 0.000 eV/atom
**Total magnetization**: 0.00 μB per formula unit
**ΔH_f (0 K)**: -0.102 eV per atom
**Final energy**: -18.54 eV per cell
**N(E_F)**: 3.879 states/eV/cell

Cell: 3.0472 9.4717 9.4717 Å, 55.38 90.00 90.00°
Fractional coordinates of all 11 atoms:
Cd: 0.0000 0.2716 0.2716
Cd: 0.0000 0.7284 0.7284
Cd: 0.5000 0.0000 0.0000
Li: 0.5000 0.3589 0.9649
Li: 0.5000 0.4084 0.4084
Li: 0.5000 0.5916 0.5916
Li: 0.5000 0.9649 0.3589
Li: 0.5000 0.0351 0.6411
Li: 0.5000 0.6411 0.0351
Mg: 0.0000 0.7159 0.2841
Mg: 0.0000 0.2841 0.7159

Record 10
The following is a PBE-GGA calculation of a geometry-optimized Li3MgCd12 structure, from Alexandria via LeMat-Bulk.

Output
**Total magnetization**: 0.00 μB per formula unit
**ΔH_f (0 K)**: -0.130 eV per atom
**Final energy**: -20.39 eV per cell
**N(E_F)**: 6.086 states/eV/cell

Cell: 4.3076 4.3076 18.0332 Å, 90.00 90.00 90.00°
Fractional coordinates of all 16 atoms:
Cd: 0.0000 0.5000 0.6230
Cd: 0.5000 0.0000 0.8700
Cd: 0.5000 0.5000 0.2537
Cd: 0.5000 0.0000 0.1300
Cd: 0.5000 0.0000 0.6230
Cd: 0.0000 0.5000 0.8700
Cd: 0.5000 0.5000 0.7463
Cd: 0.5000 0.5000 0.5000
Cd: 0.0000 0.5000 0.3770
Cd: 0.5000 0.5000 0.0000
Cd: 0.5000 0.0000 0.3770
Cd: 0.0000 0.5000 0.1300
Mg: 0.0000 0.0000 0.0000
Li: 0.0000 0.0000 0.7469
Li: 0.0000 0.0000 0.5000
Li: 0.0000 0.0000 0.2531

Record 11
The following is a PBE-GGA calculation of a geometry-optimized Li3MgCd5 structure, from Alexandria via LeMat-Bulk.

Output
**Total magnetization**: 0.00 μB per formula unit
**ΔH_f (0 K)**: -0.185 eV per atom
**Final energy**: -27.15 eV per cell
**N(E_F)**: 5.945 states/eV/cell

Cell: 5.8000 8.3777 8.3777 Å, 120.00 90.00 90.00°
Fractional coordinates of all 18 atoms:
Cd: 0.2500 0.6761 0.0000
Cd: 0.0000 0.3333 0.6667
Cd: 0.0000 0.6667 0.3333
Cd: 0.5000 0.3333 0.6667
Cd: 0.2500 0.0000 0.6761
Cd: 0.2500 0.3239 0.3239
Cd: 0.7500 0.3239 0.0000
Cd: 0.7500 0.6761 0.6761
Cd: 0.7500 0.0000 0.3239
Cd: 0.5000 0.6667 0.3333
Li: 0.2500 0.0000 0.3435
Li: 0.2500 0.3435 0.0000
Li: 0.7500 0.6565 0.0000
Li: 0.7500 0.3435 0.3435
Li: 0.2500 0.6565 0.6565
Li: 0.7500 0.0000 0.6565
Mg: 0.5000 0.0000 0.0000
Mg: 0.0000 0.0000 0.0000

Record 12
The following is a PBE-GGA calculation of a geometry-optimized Li2Mg3Cd4 structure, from Alexandria via LeMat-Bulk.

Output
**Offset from the most stable computed form**: 0.015 eV/atom
**Total magnetization**: 0.00 μB per formula unit
**ΔH_f (0 K)**: -0.137 eV per atom
**Final energy**: -13.50 eV per cell
**N(E_F)**: 2.576 states/eV/cell

Cell: 4.4692 6.5380 7.1003 Å, 108.75 108.34 90.00°
Fractional coordinates of all 9 atoms:
Mg: 0.8847 0.3359 0.7694
Mg: 0.0000 0.0000 0.0000
Mg: 0.1153 0.6641 0.2306
Cd: 0.4479 0.6754 0.8958
Cd: 0.7765 0.6869 0.5530
Cd: 0.2235 0.3131 0.4470
Cd: 0.5521 0.3246 0.1042
Li: 0.6633 0.0027 0.3266
Li: 0.3367 0.9973 0.6734

Record 13
The following is a PBE-GGA calculation of a geometry-optimized Li19Mg6Cd4 structure, from Alexandria via LeMat-Bulk.

Output
**Total magnetization**: 0.00 μB per formula unit
**ΔH_f (0 K)**: 0.019 eV per atom
**Final energy**: -49.04 eV per cell
**N(E_F)**: 13.942 states/eV/cell

Cell: 9.1848 9.1849 9.1848 Å, 109.47 109.47 109.47°
Fractional coordinates of all 29 atoms:
Cd: 0.3618 0.3618 0.3618
Cd: 0.0000 0.0000 0.6382
Cd: 0.6382 0.0000 0.0000
Cd: 0.0000 0.6382 0.0000
Li: 0.5220 0.1891 0.2056
Li: 0.3164 0.7944 0.9835
Li: 0.7944 0.9835 0.3164
Li: 0.1891 0.2056 0.5220
Li: 0.3330 0.0165 0.8109
Li: 0.0000 0.2573 0.2573
Li: 0.0000 0.0000 0.0000
Li: 0.0000 0.7427 0.7427
Li: 0.8109 0.3330 0.0165
Li: 0.9835 0.3164 0.7944
Li: 0.4780 0.6836 0.6670
Li: 0.2573 0.2573 0.0000
Li: 0.2573 0.0000 0.2573
Li: 0.6836 0.6670 0.4780
Li: 0.7427 0.0000 0.7427
Li: 0.2056 0.5220 0.1891
Li: 0.7427 0.7427 0.0000
Li: 0.0165 0.8109 0.3330
Li: 0.6670 0.4780 0.6836
Mg: 0.3564 0.5000 0.8564
Mg: 0.5000 0.1436 0.6436
Mg: 0.1436 0.6436 0.5000
Mg: 0.5000 0.8564 0.3564
Mg: 0.8564 0.3564 0.5000
Mg: 0.6436 0.5000 0.1436

Record 14
The following is a PBE-GGA calculation of a geometry-optimized Li2Mg2Cd structure, from Alexandria via LeMat-Bulk.

Output
**Offset from the most stable computed form**: 0.093 eV/atom
**Total magnetization**: 0.00 μB per formula unit
**ΔH_f (0 K)**: -0.052 eV per atom
**Final energy**: -16.38 eV per cell
**N(E_F)**: 2.991 states/eV/cell

Cell: 7.5412 7.5412 3.4788 Å, 90.00 90.00 90.00°
Fractional coordinates of all 10 atoms:
Mg: 0.1624 0.6624 0.5000
Mg: 0.8376 0.3376 0.5000
Mg: 0.3376 0.1624 0.5000
Mg: 0.6624 0.8376 0.5000
Cd: 0.5000 0.5000 0.0000
Cd: 0.0000 0.0000 0.0000
Li: 0.3655 0.8655 0.0000
Li: 0.6345 0.1345 0.0000
Li: 0.8655 0.6345 0.0000
Li: 0.1345 0.3655 0.0000

Record 15
The following is a PBE-GGA calculation of a geometry-optimized Li3MgCd6 structure, from Alexandria via LeMat-Bulk.

Output
**Offset from the most stable computed form**: 0.077 eV/atom
**Total magnetization**: 0.00 μB per formula unit
**ΔH_f (0 K)**: -0.117 eV per atom
**Final energy**: -27.99 eV per cell
**N(E_F)**: 6.739 states/eV/cell

Cell: 7.4450 7.4450 7.4450 Å, 90.18 90.18 90.18°
Fractional coordinates of all 20 atoms:
Mg: 0.0000 0.0000 0.0000
Mg: 0.5000 0.5000 0.5000
Cd: 0.5161 0.8576 0.3690
Cd: 0.8510 0.9525 0.6193
Cd: 0.9525 0.6193 0.8510
Cd: 0.3807 0.1490 0.0475
Cd: 0.0475 0.3807 0.1490
Cd: 0.4839 0.1424 0.6310
Cd: 0.3690 0.5161 0.8576
Cd: 0.6193 0.8510 0.9525
Cd: 0.1424 0.6310 0.4839
Cd: 0.1490 0.0475 0.3807
Cd: 0.6310 0.4839 0.1424
Cd: 0.8576 0.3690 0.5161
Li: 0.2704 0.8666 0.7396
Li: 0.2604 0.7296 0.1334
Li: 0.8666 0.7396 0.2704
Li: 0.7296 0.1334 0.2604
Li: 0.7396 0.2704 0.8666
Li: 0.1334 0.2604 0.7296

Record 16
The following is a PBE-GGA calculation of a geometry-optimized Li6Mg2Cd3 structure, from Alexandria via LeMat-Bulk.

Output
**Offset from the most stable computed form**: 0.067 eV/atom
**Total magnetization**: 0.00 μB per formula unit
**ΔH_f (0 K)**: -0.035 eV per atom
**Final energy**: -17.81 eV per cell
**N(E_F)**: 3.245 states/eV/cell

Cell: 3.8820 3.8820 15.0797 Å, 97.40 97.40 90.00°
Fractional coordinates of all 11 atoms:
Mg: 0.5508 0.5508 0.1015
Mg: 0.4492 0.4492 0.8985
Li: 0.2990 0.2990 0.5979
Li: 0.7010 0.7010 0.4021
Li: 0.3723 0.8723 0.7446
Li: 0.6277 0.1277 0.2554
Li: 0.8723 0.3723 0.7446
Li: 0.1277 0.6277 0.2554
Cd: 0.7931 0.7931 0.5862
Cd: 0.0000 0.0000 0.0000
Cd: 0.2069 0.2069 0.4138

Record 17
The following is a PBE-GGA calculation of a geometry-optimized Li5MgCd6 structure, from Alexandria via LeMat-Bulk.

Output
**Offset from the most stable computed form**: 0.000 eV/atom
**Total magnetization**: 0.00 μB per formula unit
**ΔH_f (0 K)**: -0.238 eV per atom
**Final energy**: -19.50 eV per cell
**N(E_F)**: 4.079 states/eV/cell

Cell: 4.7118 6.8450 8.2072 Å, 114.65 108.00 90.00°
Fractional coordinates of all 12 atoms:
Cd: 0.8281 0.5679 0.6562
Cd: 0.4999 0.2689 0.0001
Cd: 0.5001 0.7311 0.9999
Cd: 0.1719 0.4321 0.3438
Cd: 0.1718 0.9116 0.3436
Cd: 0.8282 0.0884 0.6564
Li: 0.6598 0.1598 0.3199
Li: 0.3402 0.8402 0.6801
Li: 0.6692 0.6696 0.3387
Li: 0.3308 0.3304 0.6613
Li: 0.0000 0.5000 0.0000
Mg: 0.0000 0.0000 0.0000

Record 18
The following is a PBE-GGA calculation of a geometry-optimized LiMg4Cd3 structure, from Alexandria via LeMat-Bulk.

Output
**Offset from the most stable computed form**: 0.000 eV/atom
**Total magnetization**: 0.00 μB per formula unit
**ΔH_f (0 K)**: -0.121 eV per atom
**Final energy**: -12.00 eV per cell
**N(E_F)**: 2.026 states/eV/cell

Cell: 4.6556 4.6556 8.4409 Å, 106.11 106.11 90.21°
Fractional coordinates of all 8 atoms:
Li: 0.5000 0.0000 0.0000
Mg: 0.1236 0.1240 0.2477
Mg: 0.8764 0.8760 0.7523
Mg: 0.3760 0.3764 0.7523
Mg: 0.6240 0.6236 0.2477
Cd: 0.7461 0.2461 0.4925
Cd: 0.2539 0.7539 0.5075
Cd: 0.0000 0.5000 0.0000